This record from Alexandria describes a relaxed structure of TbPmMnGa. The functional is PBE-GGA.

Its spin magnetization is 3.299 μB/f.u. For the energy of formation from the pure elements, the calculation gives -0.13 eV per atom.

It has space group F-43m (No. 216), with a = 7.239 Å, b = 7.239 Å, c = 7.239 Å, α = 90.00°, β = 90.00° and γ = 90.00°. The distinct sites, in fractional coordinates, are Tb at (0.000, 0.000, 0.000), Pm at (0.000, 0.000, 0.500), Mn at (0.250, 0.250, 0.750) and Ga at (0.250, 0.250, 0.250).

This record from Alexandria describes a relaxed structure of PmTmMnGa. The functional is PBE-GGA.

Its spin magnetization is 3.297 μB/f.u. For the energy of formation from the pure elements, the calculation gives -0.14 eV per atom.

It has space group F-43m (No. 216), with a = 7.173 Å, b = 7.173 Å, c = 7.173 Å, α = 90.00°, β = 90.00° and γ = 90.00°. The distinct sites, in fractional coordinates, are Pm at (0.000, 0.000, 0.000), Tm at (0.000, 0.000, 0.500), Mn at (0.250, 0.250, 0.750) and Ga at (0.250, 0.250, 0.250).

Per-record DOS(E_F), states/eV/cell: 19.49 18.42